Record 1
## AlCo6Ni (GGA-PBEsol)

Data for a geometry-optimized AlCo6Ni structure.

## Properties
calculated formation energy = -0.0798 eV/atom
N(E_F) = 1.339 states/eV/atom
density = 8.55 g cm⁻³
total magnetization = 73.58 μB/cell

```
data_AlCo6Ni
_chemical_formula_sum 'Al8 Co48 Ni8'
_cell_length_a 6.981
_cell_length_b 9.879
_cell_length_c 9.892
_cell_angle_alpha 90.00
_cell_angle_beta 90.00
_cell_angle_gamma 90.00
_space_group_name_H-M_alt 'C m m m'
_space_group_IT_number 65
_space_group_name_Hall '-C 2 2'
loop_
_atom_site_label
_atom_site_type_symbol
_atom_site_fract_x
_atom_site_fract_y
_atom_site_fract_z
Al1 Al 0.000 0.000 0.249
Al2 Al 0.000 0.247 0.000
Co1 Co 0.000 0.000 0.000
Co2 Co 0.000 0.000 0.500
Co3 Co 0.000 0.252 0.255
Co4 Co 0.000 0.500 0.000
Co5 Co 0.000 0.500 0.500
Co6 Co 0.244 0.376 0.128
Co7 Co 0.247 0.373 0.377
Ni1 Ni 0.000 0.249 0.500
Ni2 Ni 0.000 0.500 0.250
```

Record 2
## Al2CoNi (GGA-PBEsol)

Data for a geometry-optimized Al2CoNi structure.

## Properties
calculated formation energy = -0.6311 eV/atom
N(E_F) = 0.666 states/eV/atom
density = 6.20 g cm⁻³
total magnetization = 0.00 μB/cell

```
data_Al2CoNi
_chemical_formula_sum 'Al2 Co1 Ni1'
_cell_length_a 4.056
_cell_length_b 4.056
_cell_length_c 2.795
_cell_angle_alpha 90.00
_cell_angle_beta 90.00
_cell_angle_gamma 90.00
_space_group_name_H-M_alt 'P 4/m m m'
_space_group_IT_number 123
_space_group_name_Hall '-P 4 2'
loop_
_atom_site_label
_atom_site_type_symbol
_atom_site_fract_x
_atom_site_fract_y
_atom_site_fract_z
Al1 Al 0.000 0.500 0.000
Co1 Co 0.000 0.000 0.500
Ni1 Ni 0.500 0.500 0.500
```

Record 3
## AlCoNi (GGA-PBEsol)

Data for a geometry-optimized AlCoNi structure.

## Properties
calculated formation energy = -0.3016 eV/atom
N(E_F) = 1.602 states/eV/atom
density = 7.19 g cm⁻³
total magnetization = 1.51 μB/cell

```
data_AlCoNi
_chemical_formula_sum 'Al2 Co2 Ni2'
_cell_length_a 2.763
_cell_length_b 2.763
_cell_length_c 8.746
_cell_angle_alpha 90.00
_cell_angle_beta 90.00
_cell_angle_gamma 90.00
_space_group_name_H-M_alt 'I 4 m m'
_space_group_IT_number 107
_space_group_name_Hall 'I 4 -2'
loop_
_atom_site_label
_atom_site_type_symbol
_atom_site_fract_x
_atom_site_fract_y
_atom_site_fract_z
Al1 Al 0.000 0.000 0.000
Co1 Co 0.000 0.000 0.335
Ni1 Ni 0.000 0.000 0.667
```

Per-record total energy, eV/atom: -7.164 -6.151 -6.297